VASP calculation (PBE) on a geometry-optimized RbTlPt3 structure.

a = 9.1058 Å, b = 9.1058 Å, c = 9.1058 Å
α = 35.76°, β = 35.76°, γ = 35.76°
Atoms (fractional coordinates):
Rb1 0.1587 0.1587 0.1587
Rb2 0.8413 0.8413 0.8413
Tl1 0.4070 0.4070 0.4070
Tl2 0.5930 0.5930 0.5930
Pt1 0.1280 0.1280 0.6143
Pt2 0.1280 0.6143 0.1280
Pt3 0.3857 0.8720 0.8720
Pt4 0.6143 0.1280 0.1280
Pt5 0.8720 0.3857 0.8720
Pt6 0.8720 0.8720 0.3857

energy above the most stable polymorph in this dataset: 0.000 eV/atom
ΔH_f (0 K): -0.0175 eV/atom
volume: 231 Å³/cell
DFT total energy: -4.31 eV/atom
magnetization: 0.0 Bohr magnetons per cell